CuAsRu2 GGA-PBE optimized geometry; space group = P4mm; ΔH_f (0 K) = 0.201 eV/atom; E_tot = -6.62 eV/atom; magnetic moment = 0.0 μB/cell; calculated density = 10.167 Mg/m³
1.0
3.020 0.000 0.000
0.000 3.020 0.000
0.000 0.000 6.102
As Cu Ru
1 1 2
Direct
0.000 0.000 0.508 As
0.500 0.500 0.742 Cu
0.000 0.000 0.986 Ru
0.500 0.500 0.264 Ru